# GGA-PBE BaHgPd2, optimized geometry
# DFT formation energy	-0.242	eV per atom
# ρ	9.78	g cm⁻³
# total magnetic moment	0.00	Bohr magnetons per cell
# E	-13.58	eV/cell
data_BaHgPd2
_chemical_formula_sum 'Ba1 Hg1 Pd2'
_symmetry_space_group_name_H-M 'P 4/m m m'
_symmetry_Int_Tables_number 123
_symmetry_space_group_name_Hall '-P 4 2'
_cell_length_a 4.689
_cell_length_b 4.689
_cell_length_c 4.252
_cell_angle_alpha 90.00
_cell_angle_beta 90.00
_cell_angle_gamma 90.00
loop_
_atom_site_label
_atom_site_type_symbol
_atom_site_fract_x
_atom_site_fract_y
_atom_site_fract_z
_atom_site_occupancy
Ba1 Ba 0.000 0.000 0.000 1
Hg1 Hg 0.500 0.500 0.000 1
Pd1 Pd 0.000 0.500 0.500 1

# GGA-PBE BaHgPd2, optimized geometry
# DFT formation energy	-0.305	eV per atom
# ρ	7.54	g cm⁻³
# total magnetic moment	0.00	Bohr magnetons per cell
# E	-55.31	eV/cell
data_BaHgPd2
_chemical_formula_sum 'Ba4 Hg4 Pd8'
_symmetry_space_group_name_H-M 'I -4 2 d'
_symmetry_Int_Tables_number 122
_symmetry_space_group_name_Hall 'I -4 2bw'
_cell_length_a 5.097
_cell_length_b 5.097
_cell_length_c 18.679
_cell_angle_alpha 90.00
_cell_angle_beta 90.00
_cell_angle_gamma 90.00
loop_
_atom_site_label
_atom_site_type_symbol
_atom_site_fract_x
_atom_site_fract_y
_atom_site_fract_z
_atom_site_occupancy
Ba1 Ba 0.000 0.000 0.000 1
Hg1 Hg 0.000 0.000 0.500 1
Pd1 Pd 0.062 0.250 0.625 1